(1)
This record from the Open Quantum Materials Database describes CuAg2 after structural relaxation. The functional is PBE.

abc: 4.970 4.970 11.407
angles: 112.32 112.32 33.71
Sites, in units of the cell vectors:
Ag (0.342, 0.342, 0.089)
Ag (0.670, 0.670, 0.210)
Ag (0.002, 0.002, 0.338)
Ag (0.325, 0.325, 0.451)
Ag (0.001, 0.001, 0.675)
Ag (0.326, 0.326, 0.790)
Cu (0.663, 0.663, 0.564)
Cu (0.654, 0.654, 0.889)
Cu (0.017, 0.017, 0.993)

Properties
Its relative energy among the computed polymorphs is 41.0 meV per atom. The space group is Cm (8). Its volume is 143.53 Å³ per cell.

(2)
This record from the Open Quantum Materials Database describes CuAg after structural relaxation. The functional is PBE.

abc: 4.832 4.832 7.797
angles: 113.34 113.34 46.92
Sites, in units of the cell vectors:
Ag (0.500, 0.500, 0.000)
Ag (0.749, 0.749, 0.364)
Ag (0.500, 0.500, 0.500)
Ag (0.251, 0.251, 0.636)
Cu (0.250, 0.250, 0.113)
Cu (0.991, 0.991, 0.235)
Cu (0.009, 0.009, 0.765)
Cu (0.750, 0.750, 0.887)

Properties
The space group is C2/m (12). Its volume is 119.93 Å³ per cell. The calculation puts the total energy at -3.172 eV per atom.

(3)
This record from the Open Quantum Materials Database describes Cu9Ag11 after structural relaxation. The functional is PBE.

abc: 4.827 5.611 12.022
angles: 90.04 100.81 107.53
Sites, in units of the cell vectors:
Ag (0.222, 0.306, 0.183)
Ag (0.794, 0.945, 0.287)
Ag (0.827, 0.460, 0.290)
Ag (0.402, 0.099, 0.395)
Ag (0.002, 0.747, 0.500)
Ag (0.000, 0.252, 0.503)
Ag (0.601, 0.413, 0.608)
Ag (0.182, 0.035, 0.704)
Ag (0.798, 0.202, 0.808)
Ag (0.379, 0.839, 0.909)
Ag (0.393, 0.350, 0.914)
Cu (0.981, 0.982, 0.002)
Cu (0.980, 0.508, 0.005)
Cu (0.616, 0.144, 0.095)
Cu (0.622, 0.663, 0.097)
Cu (0.212, 0.803, 0.183)
Cu (0.410, 0.606, 0.397)
Cu (0.586, 0.890, 0.604)
Cu (0.208, 0.556, 0.708)
Cu (0.785, 0.699, 0.807)

Properties
Its relative energy among the computed polymorphs is 4.3 meV per atom. The space group is P1 (1). Its volume is 304.42 Å³ per cell.

(4)
This record from the Open Quantum Materials Database describes CuAg after structural relaxation. The functional is PBE.

abc: 2.846 3.492 15.028
angles: 90.00 90.00 90.00
Sites, in units of the cell vectors:
Ag (0.000, 0.500, 0.079)
Ag (0.500, 0.000, 0.196)
Ag (0.000, 0.500, 0.314)
Ag (0.500, 0.000, 0.597)
Ag (0.000, 0.500, 0.714)
Cu (0.500, 0.000, 0.415)
Cu (0.000, 0.500, 0.496)
Cu (0.500, 0.000, 0.813)
Cu (0.000, 0.500, 0.896)
Cu (0.500, 0.000, 0.979)

Properties
The space group is Pmm2 (25). Its volume is 149.33 Å³ per cell. The calculation puts the total energy at -3.193 eV per atom.

(5)
This record from the Open Quantum Materials Database describes Cu2Ag7 after structural relaxation. The functional is PBE.

abc: 7.507 7.507 7.004
angles: 91.57 91.57 22.29
Sites, in units of the cell vectors:
Ag (0.000, 0.000, 0.000)
Ag (0.335, 0.335, 0.011)
Ag (0.225, 0.225, 0.334)
Ag (0.554, 0.554, 0.341)
Ag (0.446, 0.446, 0.659)
Ag (0.775, 0.775, 0.666)
Ag (0.665, 0.665, 0.989)
Cu (0.889, 0.889, 0.336)
Cu (0.111, 0.111, 0.664)

Properties
Its relative energy among the computed polymorphs is 36.7 meV per atom. The space group is C2/m (12). Its volume is 149.63 Å³ per cell.

(6)
This record from the Open Quantum Materials Database describes Cu3Ag2 after structural relaxation. The functional is PBE.

abc: 2.756 3.764 13.729
angles: 90.00 90.00 90.00
Sites, in units of the cell vectors:
Ag (0.500, 0.000, 0.193)
Ag (0.500, 0.000, 0.398)
Ag (0.500, 0.000, 0.602)
Ag (0.500, 0.000, 0.807)
Cu (0.500, 0.000, 0.000)
Cu (0.000, 0.500, 0.090)
Cu (0.000, 0.500, 0.296)
Cu (0.000, 0.500, 0.500)
Cu (0.000, 0.500, 0.704)
Cu (0.000, 0.500, 0.910)

Properties
Its relative energy among the computed polymorphs is 54.3 meV per atom. The space group is Pmmm (47). Its volume is 142.42 Å³ per cell.

(7)
This record from the Open Quantum Materials Database describes CuAg2 after structural relaxation. The functional is PBE.

abc: 5.000 5.000 11.299
angles: 112.20 112.20 33.54
Sites, in units of the cell vectors:
Ag (0.675, 0.675, 0.190)
Ag (0.008, 0.008, 0.323)
Ag (0.332, 0.332, 0.439)
Ag (0.666, 0.666, 0.569)
Ag (0.988, 0.988, 0.683)
Ag (0.666, 0.666, 0.910)
Cu (0.361, 0.361, 0.106)
Cu (0.325, 0.325, 0.794)
Cu (0.977, 0.977, 0.986)

Properties
Its relative energy among the computed polymorphs is 29.1 meV per atom. The space group is Cm (8). Its volume is 143.40 Å³ per cell.

(8)
This record from the Open Quantum Materials Database describes CuAg after structural relaxation. The functional is PBE.

abc: 4.809 4.809 9.422
angles: 101.56 101.56 33.64
Sites, in units of the cell vectors:
Ag (0.113, 0.113, 0.169)
Ag (0.620, 0.620, 0.435)
Ag (0.380, 0.380, 0.565)
Ag (0.887, 0.887, 0.831)
Cu (0.361, 0.361, 0.068)
Cu (0.867, 0.867, 0.302)
Cu (0.133, 0.133, 0.698)
Cu (0.639, 0.639, 0.932)

Properties
The space group is C2/m (12). Its volume is 118.02 Å³ per cell. The calculation puts the total energy at -3.176 eV per atom.

(9)
This record from the Open Quantum Materials Database describes Cu3Ag2 after structural relaxation. The functional is PBE.

abc: 7.245 7.245 5.548
angles: 100.56 100.56 30.10
Sites, in units of the cell vectors:
Ag (0.496, 0.496, 0.247)
Ag (0.699, 0.699, 0.341)
Ag (0.301, 0.301, 0.659)
Ag (0.504, 0.504, 0.753)
Cu (0.105, 0.105, 0.041)
Cu (0.299, 0.299, 0.144)
Cu (0.898, 0.898, 0.442)
Cu (0.102, 0.102, 0.558)
Cu (0.701, 0.701, 0.856)
Cu (0.895, 0.895, 0.959)

Properties
Its relative energy among the computed polymorphs is 54.0 meV per atom. The space group is C2/m (12). Its volume is 143.42 Å³ per cell.

(10)
This record from the Open Quantum Materials Database describes CuAg after structural relaxation. The functional is PBE.

abc: 4.837 4.837 8.756
angles: 91.30 91.30 46.85
Sites, in units of the cell vectors:
Ag (0.195, 0.195, 0.382)
Ag (0.491, 0.491, 0.489)
Ag (0.105, 0.105, 0.699)
Ag (0.404, 0.404, 0.809)
Ag (0.705, 0.705, 0.922)
Cu (0.006, 0.006, 0.022)
Cu (0.311, 0.311, 0.108)
Cu (0.590, 0.590, 0.195)
Cu (0.893, 0.893, 0.283)
Cu (0.799, 0.799, 0.592)

Properties
The space group is Cm (8). Its volume is 149.44 Å³ per cell. The calculation puts the total energy at -3.181 eV per atom.

(11)
This record from the Open Quantum Materials Database describes Cu2Ag7 after structural relaxation. The functional is PBE.

abc: 6.451 6.451 6.451
angles: 143.85 95.58 95.47
Sites, in units of the cell vectors:
Ag (0.505, 0.334, 0.170)
Ag (0.836, 0.666, 0.170)
Ag (0.500, 0.000, 0.500)
Ag (0.840, 0.340, 0.500)
Ag (0.160, 0.660, 0.500)
Ag (0.164, 0.334, 0.830)
Ag (0.495, 0.666, 0.830)
Cu (0.162, 0.000, 0.162)
Cu (0.838, 0.000, 0.838)

Properties
Its relative energy among the computed polymorphs is 36.4 meV per atom. The space group is Immm (71). Its volume is 150.52 Å³ per cell.

(12)
This record from the Open Quantum Materials Database describes CuAg after structural relaxation. The functional is PBE.

abc: 4.800 4.800 9.454
angles: 101.52 101.52 33.80
Sites, in units of the cell vectors:
Ag (0.500, 0.500, 0.000)
Ag (0.737, 0.737, 0.356)
Ag (0.500, 0.500, 0.500)
Ag (0.263, 0.263, 0.644)
Cu (0.254, 0.254, 0.115)
Cu (0.985, 0.985, 0.241)
Cu (0.015, 0.015, 0.759)
Cu (0.746, 0.746, 0.885)

Properties
The space group is C2/m (12). Its volume is 118.52 Å³ per cell. The calculation puts the total energy at -3.184 eV per atom.

(13)
This record from the Open Quantum Materials Database describes CuAg2 after structural relaxation. The functional is PBE.

abc: 7.429 7.429 6.885
angles: 91.66 91.66 22.30
Sites, in units of the cell vectors:
Ag (0.556, 0.556, 0.332)
Ag (0.889, 0.889, 0.336)
Ag (0.222, 0.222, 0.346)
Ag (0.451, 0.451, 0.678)
Ag (0.660, 0.660, 0.985)
Ag (0.334, 0.334, 0.989)
Cu (0.115, 0.115, 0.665)
Cu (0.772, 0.772, 0.669)
Cu (0.001, 0.001, 0.000)

Properties
Its relative energy among the computed polymorphs is 52.0 meV per atom. The space group is Cm (8). Its volume is 144.15 Å³ per cell.

(14)
This record from the Open Quantum Materials Database describes Cu3Ag5 after structural relaxation. The functional is PBE.

abc: 5.653 3.996 6.189
angles: 90.00 114.83 90.00
Sites, in units of the cell vectors:
Ag (0.500, 0.500, 0.000)
Ag (0.877, 0.000, 0.233)
Ag (0.252, 0.500, 0.491)
Ag (0.748, 0.500, 0.509)
Ag (0.123, 0.000, 0.767)
Cu (0.000, 0.500, 0.000)
Cu (0.377, 0.000, 0.255)
Cu (0.623, 0.000, 0.745)

Properties
Its relative energy among the computed polymorphs is 48.7 meV per atom. The space group is P2/m (10). Its volume is 126.89 Å³ per cell.

(15)
This record from the Open Quantum Materials Database describes Cu3Ag2 after structural relaxation. The functional is PBE.

abc: 2.782 3.646 14.103
angles: 90.00 90.00 90.00
Sites, in units of the cell vectors:
Ag (0.000, 0.000, 0.146)
Ag (0.500, 0.500, 0.440)
Ag (0.000, 0.000, 0.560)
Ag (0.500, 0.500, 0.854)
Cu (0.500, 0.500, 0.043)
Cu (0.500, 0.500, 0.250)
Cu (0.000, 0.000, 0.336)
Cu (0.500, 0.500, 0.664)
Cu (0.000, 0.000, 0.750)
Cu (0.000, 0.000, 0.957)

Properties
Its relative energy among the computed polymorphs is 49.6 meV per atom. The space group is Pmmn (59). Its volume is 143.07 Å³ per cell.

(16)
This record from the Open Quantum Materials Database describes CuAg after structural relaxation. The functional is PBE.

abc: 3.942 9.900 9.900
angles: 22.75 90.00 90.00
Sites, in units of the cell vectors:
Ag (0.500, 0.402, 0.402)
Ag (0.000, 0.509, 0.509)
Ag (0.000, 0.694, 0.694)
Ag (0.500, 0.794, 0.794)
Ag (0.000, 0.901, 0.901)
Cu (0.500, 0.012, 0.012)
Cu (0.000, 0.101, 0.101)
Cu (0.500, 0.192, 0.192)
Cu (0.000, 0.293, 0.293)
Cu (0.500, 0.601, 0.601)

Properties
The space group is Amm2 (38). Its volume is 149.39 Å³ per cell. The calculation puts the total energy at -3.181 eV per atom.

(17)
This record from the Open Quantum Materials Database describes CuAg after structural relaxation. The functional is PBE.

abc: 2.832 3.607 14.621
angles: 90.00 90.00 90.00
Sites, in units of the cell vectors:
Ag (0.500, 0.500, 0.081)
Ag (0.000, 0.000, 0.198)
Ag (0.000, 0.000, 0.396)
Ag (0.500, 0.500, 0.514)
Ag (0.500, 0.500, 0.712)
Cu (0.500, 0.500, 0.297)
Cu (0.000, 0.000, 0.613)
Cu (0.000, 0.000, 0.811)
Cu (0.500, 0.500, 0.896)
Cu (0.000, 0.000, 0.981)

Properties
The space group is Pmm2 (25). Its volume is 149.33 Å³ per cell. The calculation puts the total energy at -3.183 eV per atom.

(18)
This record from the Open Quantum Materials Database describes Cu3Ag2 after structural relaxation. The functional is PBE.

abc: 4.662 4.742 7.147
angles: 72.20 72.62 80.82
Sites, in units of the cell vectors:
Ag (0.247, 0.053, 0.145)
Ag (0.740, 0.169, 0.445)
Ag (0.260, 0.831, 0.555)
Ag (0.753, 0.947, 0.855)
Cu (0.747, 0.365, 0.045)
Cu (0.760, 0.741, 0.248)
Cu (0.246, 0.461, 0.343)
Cu (0.754, 0.539, 0.657)
Cu (0.240, 0.259, 0.752)
Cu (0.253, 0.635, 0.955)

Properties
Its relative energy among the computed polymorphs is 57.0 meV per atom. The space group is P-1 (2). Its volume is 143.14 Å³ per cell.

(19)
This record from the Open Quantum Materials Database describes Cu7Ag2 after structural relaxation. The functional is PBE.

abc: 12.683 12.683 12.683
angles: 167.69 164.20 20.08
Sites, in units of the cell vectors:
Ag (0.337, 0.337, 0.000)
Ag (0.663, 0.663, 0.000)
Cu (0.000, 0.000, 0.000)
Cu (0.101, 0.101, 0.000)
Cu (0.226, 0.226, 0.000)
Cu (0.449, 0.449, 0.000)
Cu (0.551, 0.551, 0.000)
Cu (0.774, 0.774, 0.000)
Cu (0.899, 0.899, 0.000)

Properties
Its relative energy among the computed polymorphs is 20.7 meV per atom. The space group is Immm (71). Its volume is 118.47 Å³ per cell.

(20)
This record from the Open Quantum Materials Database describes CuAg after structural relaxation. The functional is PBE.

abc: 7.372 7.372 5.665
angles: 102.20 102.20 29.95
Sites, in units of the cell vectors:
Ag (0.000, 0.000, 0.000)
Ag (0.201, 0.201, 0.116)
Ag (0.404, 0.404, 0.222)
Ag (0.596, 0.596, 0.778)
Ag (0.799, 0.799, 0.884)
Cu (0.605, 0.605, 0.315)
Cu (0.801, 0.801, 0.415)
Cu (0.000, 0.000, 0.500)
Cu (0.199, 0.199, 0.585)
Cu (0.395, 0.395, 0.685)

Properties
The space group is C2/m (12). Its volume is 149.95 Å³ per cell. The calculation puts the total energy at -3.177 eV per atom.